Computed, not measured: a geometry-optimized Ho4Sc2Al structure at the PBE-GGA level of DFT.

Calculated values
N(E_F) = 1.454 states/eV per atom
DFT total energy = -104.73 eV per cell
ΔE_f = -0.19 eV per formula unit

Unit cell a=3.4908 b=3.4908 c=54.9100 alpha=90.00 beta=90.00 gamma=120.00
Space group R-3m (No. 166, hexagonal axes)
Unique sites:
Ho1 0.0000 0.0000 0.0953
Ho2 0.0000 0.0000 0.2915
Sc1 0.0000 0.0000 0.1893
Al1 0.0000 0.0000 0.0000

Computed, not measured: a geometry-optimized Ho4ScAl structure at the PBE-GGA level of DFT.

Calculated values
N(E_F) = 1.522 states/eV per atom
DFT total energy = -114.00 eV per cell
ΔE_f = -0.12 eV per formula unit
Excess energy over the best structure of this formula in the dataset = 0 meV per atom

Unit cell a=8.619 b=13.621 c=6.069 alpha=90.00 beta=108.64 gamma=90.00
Space group C2/c (No. 15)
Unique sites:
Ho1 0.100 0.186 0.046
Ho2 0.213 0.391 0.374
Sc1 0.000 0.403 0.750
Al1 0.000 0.001 0.250

Computed, not measured: a geometry-optimized Ho3Sc2Al3 structure at the PBE-GGA level of DFT.

Calculated values
N(E_F) = 0.820 states/eV per atom
DFT total energy = -80.42 eV per cell
ΔE_f = -2.59 eV per formula unit

Unit cell a=3.544 b=5.092 c=20.797 alpha=90.00 beta=90.00 gamma=90.00
Space group Immm (No. 71)
Unique sites:
Ho1 0.000 0.000 0.000
Ho2 0.000 0.500 0.123
Sc1 0.000 0.000 0.235
Al1 0.000 0.000 0.500
Al2 0.000 0.500 0.376